DFT (PBE) results for a relaxed HoTe3 crystal.

Cell and atoms, written as CIF:
```
data_HoTe3
_chemical_formula_sum 'Ho1 Te3'
_space_group_name_H-M_alt 'P m m 2'
_space_group_IT_number 25
_cell_length_a 4.477
_cell_length_b 6.293
_cell_length_c 4.482
_cell_angle_alpha 90.00
_cell_angle_beta 90.00
_cell_angle_gamma 90.00
loop_
_space_group_symop_operation_xyz
'x,y,z'
'-x,-y,z'
'-x,y,z'
'x,-y,z'
loop_
_atom_site_label
_atom_site_fract_x
_atom_site_fract_y
_atom_site_fract_z
Ho1 0.000 0.000 0.000
Te1 0.000 0.500 0.004
Te2 0.500 0.000 0.500
Te3 0.500 0.500 0.503
```

Energy relative to the elements, uncorrected, eV/atom: -0.567
Total magnetization, μB/f.u.: 0.0


DFT (PBE) results for a relaxed Sr2HgBr crystal.

Cell and atoms, written as CIF:
```
data_Sr2HgBr
_chemical_formula_sum 'Sr6 Hg3 Br3'
_space_group_name_H-M_alt 'R 3 m'
_space_group_IT_number 160
_space_group_name_Hall 'R 3 -2"'
_cell_length_a 4.3754
_cell_length_b 4.3754
_cell_length_c 26.3564
_cell_angle_alpha 90.00
_cell_angle_beta 90.00
_cell_angle_gamma 120.00
loop_
_atom_site_label
_atom_site_fract_x
_atom_site_fract_y
_atom_site_fract_z
Sr1 0.0000 0.0000 0.0000
Sr2 0.0000 0.0000 0.1771
Hg1 0.0000 0.0000 0.5887
Br1 0.0000 0.0000 0.4188
```

Energy relative to the elements, uncorrected, eV/atom: -0.969
Energy above the lowest structure with this stoichiometry, meV per atom: 29
Total magnetization, μB/f.u.: 0.4


DFT (PBE) results for a relaxed Sm3Er2Tm6Sc crystal.

Cell and atoms, written as CIF:
```
data_Sm3Er2Tm6Sc
_chemical_formula_sum 'Sm6 Er4 Tm12 Sc2'
_space_group_name_H-M_alt 'C 1 2/m 1'
_space_group_IT_number 12
_cell_length_a 6.084
_cell_length_b 10.531
_cell_length_c 11.597
_cell_angle_alpha 90.00
_cell_angle_beta 100.06
_cell_angle_gamma 90.00
loop_
_space_group_symop_operation_xyz
'x,y,z'
'-x,-y,-z'
'-x,y,-z'
'x,-y,z'
'x+1/2,y+1/2,z'
'-x+1/2,-y+1/2,-z'
'-x+1/2,y+1/2,-z'
'x+1/2,-y+1/2,z'
loop_
_atom_site_label
_atom_site_fract_x
_atom_site_fract_y
_atom_site_fract_z
Sm1 0.000 0.000 0.000
Sm2 0.000 0.334 0.000
Er1 0.000 0.167 0.500
Tm1 0.247 0.334 0.745
Tm2 0.250 0.000 0.745
Sc1 0.000 0.500 0.500
```

ΔE_f, eV/atom: 0.032
Total magnetization, μB/f.u.: 0.0


DFT (PBE) results for a relaxed Ti5Mn4Pt crystal.

Cell and atoms, written as CIF:
```
data_Ti5Mn4Pt
_chemical_formula_sum 'Ti5 Mn4 Pt1'
_space_group_name_H-M_alt 'P 4/m m m'
_space_group_IT_number 123
_space_group_name_Hall '-P 4 2'
_cell_length_a 3.022
_cell_length_b 3.022
_cell_length_c 15.091
_cell_angle_alpha 90.00
_cell_angle_beta 90.00
_cell_angle_gamma 90.00
loop_
_atom_site_label
_atom_site_fract_x
_atom_site_fract_y
_atom_site_fract_z
Ti1 0.000 0.000 0.000
Ti2 0.000 0.000 0.197
Ti3 0.000 0.000 0.387
Mn1 0.500 0.500 0.098
Mn2 0.500 0.500 0.298
Pt1 0.500 0.500 0.500
```

ΔE_f, eV/atom: -0.419
Total magnetization, μB/f.u.: 1.6


DFT (PBE) results for a relaxed LaRe2W crystal.

Cell and atoms, written as CIF:
```
data_LaRe2W
_chemical_formula_sum 'La1 Re2 W1'
_space_group_name_H-M_alt 'P 1 m 1'
_space_group_IT_number 6
_cell_length_a 2.890
_cell_length_b 4.185
_cell_length_c 6.682
_cell_angle_alpha 90.00
_cell_angle_beta 100.38
_cell_angle_gamma 90.00
loop_
_space_group_symop_operation_xyz
'x,y,z'
'x,-y,z'
loop_
_atom_site_label
_atom_site_fract_x
_atom_site_fract_y
_atom_site_fract_z
La1 0.000 0.000 0.000
Re1 0.491 0.000 0.486
Re2 0.781 0.500 0.312
W1 0.227 0.500 0.670
```

ΔE_f, eV/atom: 0.545
Energy above the lowest structure with this stoichiometry, meV per atom: 209
Total magnetization, μB/f.u.: 0.0


DFT (PBE) results for a relaxed Ac2TlO6 crystal.

Cell and atoms, written as CIF:
```
data_Ac2TlO6
_chemical_formula_sum 'Ac4 Tl2 O12'
_space_group_name_H-M_alt 'C 1 2/m 1'
_space_group_IT_number 12
_cell_length_a 11.544
_cell_length_b 6.215
_cell_length_c 4.071
_cell_angle_alpha 90.00
_cell_angle_beta 97.47
_cell_angle_gamma 90.00
loop_
_space_group_symop_operation_xyz
'x,y,z'
'-x,-y,-z'
'-x,y,-z'
'x,-y,z'
'x+1/2,y+1/2,z'
'-x+1/2,-y+1/2,-z'
'-x+1/2,y+1/2,-z'
'x+1/2,-y+1/2,z'
loop_
_atom_site_label
_atom_site_fract_x
_atom_site_fract_y
_atom_site_fract_z
Ac1 0.168 0.000 0.198
Tl1 0.000 0.500 0.500
O1 0.000 0.265 0.000
O2 0.149 0.254 0.689
```

Energy relative to the elements, uncorrected, eV/atom: -1.788
Energy above the lowest structure with this stoichiometry, meV per atom: 117
Total magnetization, μB/f.u.: 1.0


DFT (PBE) results for a relaxed Y4HoMgSe8 crystal.

Cell and atoms, written as CIF:
```
data_Y4HoMgSe8
_chemical_formula_sum 'Y12 Ho3 Mg3 Se24'
_space_group_name_H-M_alt 'R 3 m'
_space_group_IT_number 160
_space_group_name_Hall 'R 3 -2"'
_cell_length_a 8.3457
_cell_length_b 8.3457
_cell_length_c 20.4382
_cell_angle_alpha 90.00
_cell_angle_beta 90.00
_cell_angle_gamma 120.00
loop_
_atom_site_label
_atom_site_fract_x
_atom_site_fract_y
_atom_site_fract_z
Y1 0.0000 0.0000 0.0000
Y2 0.1710 0.3421 0.2074
Ho1 0.0000 0.0000 0.3786
Mg1 0.0000 0.0000 0.7501
Se1 0.0000 0.0000 0.1335
Se2 0.0000 0.0000 0.6216
Se3 0.0103 0.5052 0.1258
Se4 0.1785 0.3570 0.9562
```

Energy relative to the elements, uncorrected, eV/atom: -1.727
Total magnetization, μB/f.u.: 0.0


DFT (PBE) results for a relaxed InCu3Pt4 crystal.

Cell and atoms, written as CIF:
```
data_InCu3Pt4
_chemical_formula_sum 'In2 Cu6 Pt8'
_space_group_name_H-M_alt 'P m m a'
_space_group_IT_number 51
_cell_length_a 8.975
_cell_length_b 5.772
_cell_length_c 4.615
_cell_angle_alpha 90.00
_cell_angle_beta 90.00
_cell_angle_gamma 90.00
loop_
_space_group_symop_operation_xyz
'x,y,z'
'-x,-y,-z'
'-x+1/2,-y,z'
'x+1/2,y,-z'
'x+1/2,-y,-z'
'-x+1/2,y,z'
'-x,y,-z'
'x,-y,z'
loop_
_atom_site_label
_atom_site_fract_x
_atom_site_fract_y
_atom_site_fract_z
In1 0.000 0.000 0.000
Cu1 0.000 0.500 0.000
Cu2 0.250 0.000 0.400
Cu3 0.250 0.500 0.378
Pt1 0.000 0.259 0.500
Pt2 0.250 0.261 0.882
```

ΔE_f, eV/atom: -0.237
Total magnetization, μB/f.u.: 0.0


DFT (PBE) results for a relaxed SrSi crystal.

Cell and atoms, written as CIF:
```
data_SrSi
_chemical_formula_sum 'Sr6 Si6'
_space_group_name_H-M_alt 'R -3 m'
_space_group_IT_number 166
_space_group_name_Hall '-R 3 2"'
_cell_length_a 5.7154
_cell_length_b 5.7154
_cell_length_c 11.9646
_cell_angle_alpha 90.00
_cell_angle_beta 90.00
_cell_angle_gamma 120.00
loop_
_atom_site_label
_atom_site_fract_x
_atom_site_fract_y
_atom_site_fract_z
Sr1 0.0000 0.0000 0.1563
Si1 0.0000 0.0000 0.4055
```

Energy relative to the elements, uncorrected, eV/atom: -0.002
Total magnetization, μB/f.u.: 0.0


DFT (PBE) results for a relaxed Tl2SbO4 crystal.

Cell and atoms, written as CIF:
```
data_Tl2SbO4
_chemical_formula_sum 'Tl8 Sb4 O16'
_space_group_name_H-M_alt 'I m m a'
_space_group_IT_number 74
_space_group_name_Hall '-I 2b 2'
_cell_length_a 6.324
_cell_length_b 8.038
_cell_length_c 9.854
_cell_angle_alpha 90.00
_cell_angle_beta 90.00
_cell_angle_gamma 90.00
loop_
_atom_site_label
_atom_site_fract_x
_atom_site_fract_y
_atom_site_fract_z
Tl1 0.000 0.000 0.000
Tl2 0.000 0.250 0.363
Sb1 0.250 0.250 0.750
O1 0.000 0.083 0.745
O2 0.228 0.250 0.953
```

Energy relative to the elements, uncorrected, eV/atom: -0.985
Energy above the lowest structure with this stoichiometry, meV per atom: 0
Total magnetization, μB/f.u.: 0.0


DFT (PBE) results for a relaxed GaReH crystal.

Cell and atoms, written as CIF:
```
data_GaReH
_chemical_formula_sum 'Ga1 Re1 H1'
_space_group_name_H-M_alt 'P 3 m 1'
_space_group_IT_number 156
_cell_length_a 3.1424
_cell_length_b 3.1424
_cell_length_c 3.8913
_cell_angle_alpha 90.00
_cell_angle_beta 90.00
_cell_angle_gamma 120.00
loop_
_space_group_symop_operation_xyz
'x,y,z'
'-y,x-y,z'
'-x+y,-x,z'
'-y,-x,z'
'-x+y,y,z'
'x,x-y,z'
loop_
_atom_site_label
_atom_site_fract_x
_atom_site_fract_y
_atom_site_fract_z
Ga1 0.0000 0.0000 0.0000
Re1 0.3333 0.6667 0.4897
H1 0.6667 0.3333 0.6038
```

Energy above the lowest structure with this stoichiometry, meV per atom: 7
Total magnetization, μB/f.u.: 0.0